# 1
{"formula": "SmYTl", "functional": "PBE", "state": "relaxed", "cell": [[-2.485, -3.364, -2.635], [3.607, -0.018, -3.379], [3.627, -5.737, 3.903]], "species": ["Tl", "Tl", "Sm", "Sm", "Y", "Y"], "frac_coords": [[0.000, 0.000, 0.000], [0.500, 0.500, 0.000], [0.500, 0.000, 0.715], [0.000, 0.500, 0.285], [0.500, 0.000, 0.266], [0.000, 0.500, 0.734]], "dft_energy_ev_per_atom": -4.526, "formation_energy_mev_per_atom": -9, "polymorph_energy_mev_per_atom": 277, "magnetic_moment_mub_per_cell": 1.94}

=====

# 2
{"formula": "Sm6YTl", "functional": "PBE", "state": "relaxed", "cell": [[4.980, 0.000, 0.000], [0.000, 4.980, 0.000], [0.000, 0.000, 10.273]], "species": ["Sm", "Sm", "Sm", "Sm", "Sm", "Sm", "Tl", "Y"], "frac_coords": [[0.500, 0.000, 0.756], [0.000, 0.500, 0.244], [0.000, 0.500, 0.756], [0.500, 0.000, 0.244], [0.500, 0.500, 0.500], [0.500, 0.500, 0.000], [0.000, 0.000, 0.000], [0.000, 0.000, 0.500]], "dft_energy_ev_per_atom": -4.724, "formation_energy_mev_per_atom": -81, "polymorph_energy_mev_per_atom": 0, "magnetic_moment_mub_per_cell": 0.00}

=====

# 3
{"formula": "Sm4Y5Tl4", "functional": "PBE", "state": "relaxed", "cell": [[1.229, 4.303, 2.610], [0.873, -2.420, 8.720], [9.076, 0.523, 0.006]], "species": ["Tl", "Tl", "Tl", "Tl", "Sm", "Sm", "Sm", "Sm", "Y", "Y", "Y", "Y", "Y"], "frac_coords": [[0.231, 0.660, 0.877], [0.769, 0.340, 0.123], [0.108, 0.123, 0.660], [0.892, 0.877, 0.340], [0.610, 0.293, 0.487], [0.390, 0.707, 0.513], [0.903, 0.487, 0.707], [0.097, 0.513, 0.293], [0.401, 0.285, 0.914], [0.000, 0.000, 0.000], [0.599, 0.715, 0.086], [0.314, 0.086, 0.285], [0.686, 0.914, 0.715]], "dft_energy_ev_per_atom": -4.933, "formation_energy_mev_per_atom": -267, "magnetic_moment_mub_per_cell": 0.00}